Arrangement 1

# YZnCo3, relaxed, DFT PBE-GGA
data_YZnCo3
_symmetry_space_group_name_H-M 'P 1'
_symmetry_Int_Tables_number 1
_cell_length_a 4.401
_cell_length_b 4.401
_cell_length_c 4.401
_cell_angle_alpha 90.00
_cell_angle_beta 90.00
_cell_angle_gamma 90.00
loop_
_symmetry_equiv_pos_as_xyz
'x,y,z'
loop_
_atom_site_label
_atom_site_type_symbol
_atom_site_fract_x
_atom_site_fract_y
_atom_site_fract_z
_atom_site_occupancy
Y1 Y 0.500 0.500 0.500 1
Zn1 Zn 0.000 0.000 0.000 1
Co1 Co 0.000 0.500 0.000 1
Co2 Co 0.000 0.000 0.500 1
Co3 Co 0.500 0.000 0.000 1
# SG: Pm-3m, No. 221
# Magnetization (μB per formula unit): 2.020

=====

Arrangement 2

# YZnCo3, relaxed, DFT PBE-GGA
data_YZnCo3
_symmetry_space_group_name_H-M 'P 1'
_symmetry_Int_Tables_number 1
_cell_length_a 4.639
_cell_length_b 4.639
_cell_length_c 4.639
_cell_angle_alpha 90.00
_cell_angle_beta 90.00
_cell_angle_gamma 90.00
loop_
_symmetry_equiv_pos_as_xyz
'x,y,z'
loop_
_atom_site_label
_atom_site_type_symbol
_atom_site_fract_x
_atom_site_fract_y
_atom_site_fract_z
_atom_site_occupancy
Y1 Y 0.000 0.000 0.000 1
Zn1 Zn 0.500 0.500 0.500 1
Co1 Co 0.000 0.500 0.000 1
Co2 Co 0.000 0.000 0.500 1
Co3 Co 0.500 0.000 0.000 1
# SG: Pm-3m, No. 221
# Magnetization (μB per formula unit): 2.467

=====

Quick look at relative energies in meV per atom: arrangement 1 0; arrangement 2 1113.

=====

Arrangement 1

# YZrCo, relaxed, DFT PBE-GGA
data_YZrCo
_symmetry_space_group_name_H-M 'P 1'
_symmetry_Int_Tables_number 1
_cell_length_a 4.485
_cell_length_b 4.467
_cell_length_c 9.273
_cell_angle_alpha 118.74
_cell_angle_beta 90.00
_cell_angle_gamma 120.14
loop_
_symmetry_equiv_pos_as_xyz
'x,y,z'
loop_
_atom_site_label
_atom_site_type_symbol
_atom_site_fract_x
_atom_site_fract_y
_atom_site_fract_z
_atom_site_occupancy
Co1 Co 0.812 0.624 0.719 1
Co2 Co 0.188 0.376 0.281 1
Zr1 Zr 0.407 0.814 0.611 1
Zr2 Zr 0.593 0.186 0.389 1
Y1 Y 0.756 0.513 0.133 1
Y2 Y 0.244 0.487 0.867 1
# SG: C2/m, No. 12
# Magnetization (μB per formula unit): 0.000

=====

Arrangement 2

# YZrCo, relaxed, DFT PBE-GGA
data_YZrCo
_symmetry_space_group_name_H-M 'P 1'
_symmetry_Int_Tables_number 1
_cell_length_a 4.192
_cell_length_b 4.192
_cell_length_c 4.360
_cell_angle_alpha 90.00
_cell_angle_beta 90.00
_cell_angle_gamma 120.00
loop_
_symmetry_equiv_pos_as_xyz
'x,y,z'
loop_
_atom_site_label
_atom_site_type_symbol
_atom_site_fract_x
_atom_site_fract_y
_atom_site_fract_z
_atom_site_occupancy
Co1 Co 0.000 0.000 0.895 1
Y1 Y 0.333 0.667 0.305 1
Zr1 Zr 0.667 0.333 0.800 1
# SG: P3m1, No. 156
# Magnetization (μB per formula unit): 0.000

=====

Arrangement 3

# YZrCo, relaxed, DFT PBE-GGA
data_YZrCo
_symmetry_space_group_name_H-M 'P 1'
_symmetry_Int_Tables_number 1
_cell_length_a 4.555
_cell_length_b 4.555
_cell_length_c 4.555
_cell_angle_alpha 60.00
_cell_angle_beta 60.00
_cell_angle_gamma 60.00
loop_
_symmetry_equiv_pos_as_xyz
'x,y,z'
loop_
_atom_site_label
_atom_site_type_symbol
_atom_site_fract_x
_atom_site_fract_y
_atom_site_fract_z
_atom_site_occupancy
Co1 Co 0.750 0.750 0.750 1
Y1 Y 0.000 0.000 0.000 1
Zr1 Zr 0.500 0.500 0.500 1
# SG: F-43m, No. 216
# Magnetization (μB per formula unit): 0.000

=====

Quick look at relative energies in meV per atom: arrangement 1 0; arrangement 2 84; arrangement 3 71.